First-principles (PBE-GGA) data for a relaxed Ag7Sn crystal, as listed in the Alexandria database.

Results
The space-group type is Fm-3m (225). The density of states at the Fermi level comes out at 0.35 states/eV/atom. The total magnetization is 0.0 μB per formula unit. Its formation energy is 27 meV per atom.

a = 5.9491 Å, b = 5.9491 Å, c = 5.9491 Å
α = 60.00°, β = 60.00°, γ = 60.00°
Fractional coordinates of all 8 atoms:
Ag  0.5000  0.5000  0.0000
Ag  0.5000  0.0000  0.5000
Ag  0.0000  0.5000  0.5000
Ag  0.5000  0.0000  0.0000
Ag  0.0000  0.5000  0.0000
Ag  0.0000  0.0000  0.5000
Ag  0.5000  0.5000  0.5000
Sn  0.0000  0.0000  0.0000